An optimized crystal structure of RbCdHg2Bi, computed with PBE.

abc: 5.757 5.757 5.848
angles: 90.00 90.00 90.00
Sites, in units of the cell vectors:
Cd (0.000, 0.000, 0.000)
Bi (0.000, 0.000, 0.500)
Rb (0.500, 0.500, 0.500)
Hg (0.000, 0.500, 0.000)
Hg (0.500, 0.000, 0.000)

## Properties
Spin magnetization in μB per formula unit: 0.0
Formation energy from the elements in eV/atom: -0.036
V in Å³/cell: 194
Space group: P4/mmm, No. 123


An optimized crystal structure of LaNdTe2Se, computed with PBE.

abc: 4.484 4.484 15.946
angles: 90.00 90.00 90.00
Sites, in units of the cell vectors:
La (0.500, 0.000, 0.630)
La (0.000, 0.500, 0.370)
Nd (0.500, 0.000, 0.096)
Nd (0.000, 0.500, 0.904)
Te (0.000, 0.500, 0.707)
Te (0.000, 0.500, 0.108)
Te (0.500, 0.000, 0.892)
Te (0.500, 0.000, 0.293)
Se (0.000, 0.000, 0.500)
Se (0.500, 0.500, 0.500)

## Properties
Formation energy (no corrections) in eV per atom: -1.5305
Spin magnetization in μB per formula unit: 0.0
V in Å³/cell: 321
Space group: P4/nmm, No. 129


An optimized crystal structure of BaScTe, computed with PBE.

abc: 7.092 7.093 3.962
angles: 73.78 73.79 32.43
Each line ends with the local moment (μB).
Sites, in units of the cell vectors:
Ba (0.999, 0.999, 0.001)  0.12
Sc (0.294, 0.294, 0.706)  0.51
Te (0.707, 0.707, 0.293)  -0.01

## Properties
Formation energy (no corrections) in eV per atom: -0.6867
Spin magnetization in μB per formula unit: 1.3
V in Å³/cell: 102
Space group: I4mm, No. 107


An optimized crystal structure of DyNi3, computed with PBE.

abc: 4.960 4.960 8.607
angles: 89.97 106.76 120.05
Each line ends with the local moment (μB).
Sites, in units of the cell vectors:
Dy (0.278, 0.139, 0.417)  -0.03
Dy (0.722, 0.861, 0.583)  -0.03
Dy (0.000, 0.000, 0.000)  -0.03
Ni (0.664, 0.081, 0.246)  0.12
Ni (0.165, 0.582, 0.246)  0.12
Ni (0.664, 0.582, 0.246)  0.12
Ni (0.000, 0.500, 0.500)  0.07
Ni (0.334, 0.667, 0.001)  0.16
Ni (0.666, 0.333, 0.999)  0.16
Ni (0.835, 0.418, 0.754)  0.12
Ni (0.336, 0.919, 0.754)  0.12
Ni (0.336, 0.418, 0.754)  0.12

## Properties
Spin magnetization in μB per formula unit: 0.3
Formation energy from the elements in eV/atom: -0.413
V in Å³/cell: 173
Space group: R-3m, No. 166


An optimized crystal structure of Mg2InTe, computed with PBE.

abc: 4.024 4.024 6.452
angles: 90.00 90.00 90.00
Sites, in units of the cell vectors:
In (0.500, 0.500, 0.797)
Mg (0.000, 0.000, 0.975)
Mg (0.500, 0.500, 0.301)
Te (0.000, 0.000, 0.427)

## Properties
Formation energy (no corrections) in eV per atom: -0.2303
Spin magnetization in μB per formula unit: 0.0
V in Å³/cell: 104
Space group: P4mm, No. 99


An optimized crystal structure of LiEr2Cr, computed with PBE.

abc: 5.028 5.028 5.028
angles: 60.00 60.00 60.00
Each line ends with the local moment (μB).
Sites, in units of the cell vectors:
Cr (0.000, 0.000, 0.000)  3.20
Li (0.500, 0.500, 0.500)  -0.06
Er (0.250, 0.250, 0.250)  -0.07
Er (0.750, 0.750, 0.750)  -0.07

## Properties
Spin magnetization in μB per formula unit: 3.2
Formation energy from the elements in eV/atom: 0.162
V in Å³/cell: 90
Space group: Fm-3m, No. 225


An optimized crystal structure of Dy4CdAu3, computed with PBE.

abc: 3.627 5.133 10.293
angles: 90.00 90.00 90.00
Sites, in units of the cell vectors:
Cd (0.500, 0.500, 0.000)
Au (0.500, 0.000, 0.240)
Au (0.500, 0.500, 0.500)
Au (0.500, 0.000, 0.760)
Dy (0.000, 0.000, 0.500)
Dy (0.000, 0.500, 0.740)
Dy (0.000, 0.000, 0.000)
Dy (0.000, 0.500, 0.260)

## Properties
Spin magnetization in μB per formula unit: 0.0
Formation energy from the elements in eV/atom: -0.719
V in Å³/cell: 192
Space group: Pmmm, No. 47


An optimized crystal structure of LiAgPPd, computed with PBE.

abc: 4.343 4.343 4.343
angles: 60.00 60.00 60.00
Sites, in units of the cell vectors:
P (0.500, 0.500, 0.500)
Pd (0.750, 0.750, 0.750)
Ag (0.250, 0.250, 0.250)
Li (0.000, 0.000, 0.000)

## Properties
Spin magnetization in μB per formula unit: 0.0
Formation energy from the elements in eV/atom: -0.278
V in Å³/cell: 58
Space group: F-43m, No. 216


An optimized crystal structure of Mn4CdPt5, computed with PBE.

abc: 2.915 2.915 18.282
angles: 90.00 90.00 90.00
Each line ends with the local moment (μB).
Sites, in units of the cell vectors:
Mn (0.000, 0.000, 0.208)  3.79
Mn (0.000, 0.000, 0.403)  3.83
Mn (0.000, 0.000, 0.597)  3.83
Mn (0.000, 0.000, 0.792)  3.79
Cd (0.000, 0.000, 0.000)  -0.01
Pt (0.500, 0.500, 0.114)  0.18
Pt (0.500, 0.500, 0.306)  0.37
Pt (0.500, 0.500, 0.500)  0.39
Pt (0.500, 0.500, 0.694)  0.37
Pt (0.500, 0.500, 0.886)  0.18

## Properties
Spin magnetization in μB per formula unit: 17.3
Formation energy from the elements in eV/atom: -0.357
V in Å³/cell: 155
Space group: P4/mmm, No. 123


An optimized crystal structure of NaPdRh2C, computed with PBE.

abc: 4.079 4.079 4.265
angles: 90.00 90.00 90.00
Sites, in units of the cell vectors:
Na (0.500, 0.500, 0.500)
C (0.000, 0.000, 0.000)
Rh (0.000, 0.500, 0.000)
Rh (0.500, 0.000, 0.000)
Pd (0.000, 0.000, 0.500)

## Properties
Spin magnetization in μB per formula unit: 0.0
Formation energy from the elements in eV/atom: 0.113
V in Å³/cell: 71
Space group: P4/mmm, No. 123


An optimized crystal structure of FeOs, computed with PBE.

abc: 3.877 3.877 5.312
angles: 90.00 90.00 120.00
Sites, in units of the cell vectors:
Fe (0.333, 0.667, 0.331)
Fe (0.667, 0.333, 0.831)
Os (0.333, 0.667, 0.751)
Os (0.667, 0.333, 0.251)

## Properties
Spin magnetization in μB per formula unit: 0.0
Formation energy from the elements in eV/atom: 1.284
V in Å³/cell: 69
Space group: P6_3mc, No. 186


An optimized crystal structure of LiTlRuF6, computed with PBE.

abc: 5.387 5.386 6.070
angles: 90.00 89.99 59.99
Each line ends with the local moment (μB).
Sites, in units of the cell vectors:
Li (0.667, 0.667, 0.500)  0.00
Tl (0.000, 0.000, 0.000)  0.01
Ru (0.333, 0.333, 0.500)  1.52
F (0.018, 0.362, 0.320)  0.06
F (0.362, 0.018, 0.680)  0.06
F (0.620, 0.362, 0.680)  0.06
F (0.018, 0.620, 0.680)  0.06
F (0.362, 0.620, 0.320)  0.06
F (0.620, 0.018, 0.320)  0.06

## Properties
Formation energy (no corrections) in eV per atom: -2.0759
Spin magnetization in μB per formula unit: 2.0
V in Å³/cell: 152
Space group: P312, No. 149


An optimized crystal structure of TbPrHo2, computed with PBE.

abc: 3.583 3.583 11.824
angles: 81.29 81.29 60.00
Sites, in units of the cell vectors:
Pr (0.000, 0.000, 0.000)
Tb (0.500, 0.500, 0.500)
Ho (0.751, 0.751, 0.746)
Ho (0.249, 0.249, 0.254)

## Properties
Spin magnetization in μB per formula unit: 0.0
Formation energy from the elements in eV/atom: 0.019
V in Å³/cell: 129
Space group: R-3m, No. 166


An optimized crystal structure of ThPa2Si, computed with PBE.

abc: 3.768 3.768 7.130
angles: 90.00 90.00 90.00
Sites, in units of the cell vectors:
Si (0.500, 0.500, 0.000)
Pa (0.000, 0.000, 0.809)
Pa (0.000, 0.000, 0.191)
Th (0.500, 0.500, 0.500)

## Properties
Formation energy (no corrections) in eV per atom: -0.1386
Spin magnetization in μB per formula unit: 0.0
V in Å³/cell: 101
Space group: P4/mmm, No. 123


An optimized crystal structure of SrSm2TmSe4, computed with PBE.

abc: 4.158 7.297 7.245
angles: 71.04 90.00 90.00
Sites, in units of the cell vectors:
Sr (0.500, 0.500, 0.000)
Sm (0.000, 0.000, 0.000)
Sm (0.500, 0.000, 0.500)
Tm (0.000, 0.500, 0.500)
Se (0.000, 0.751, 0.738)
Se (0.000, 0.249, 0.262)
Se (0.500, 0.742, 0.263)
Se (0.500, 0.258, 0.737)

## Properties
Formation energy (no corrections) in eV per atom: -1.8023
Spin magnetization in μB per formula unit: 0.0
V in Å³/cell: 208
Space group: P2/m, No. 10


An optimized crystal structure of SrLaGd, computed with PBE.

abc: 3.814 3.814 9.502
angles: 90.00 90.00 120.00
Each line ends with the local moment (μB).
Sites, in units of the cell vectors:
Sr (0.000, 0.000, 0.995)  -0.02
Gd (0.333, 0.667, 0.650)  7.22
La (0.667, 0.333, 0.355)  -0.05

## Properties
Spin magnetization in μB per formula unit: 7.4
Formation energy from the elements in eV/atom: 0.106
V in Å³/cell: 120
Space group: P3m1, No. 156


An optimized crystal structure of Er2AlHg8, computed with PBE.

abc: 4.577 4.577 12.499
angles: 90.00 90.00 90.00
Sites, in units of the cell vectors:
Er (0.000, 0.000, 0.310)
Er (0.000, 0.000, 0.690)
Al (0.000, 0.000, 0.000)
Hg (0.000, 0.500, 0.500)
Hg (0.500, 0.000, 0.500)
Hg (0.500, 0.500, 0.312)
Hg (0.500, 0.500, 0.688)
Hg (0.000, 0.500, 0.131)
Hg (0.500, 0.000, 0.131)
Hg (0.000, 0.500, 0.869)
Hg (0.500, 0.000, 0.869)

## Properties
Spin magnetization in μB per formula unit: 0.0
Formation energy from the elements in eV/atom: -0.218
V in Å³/cell: 262
Space group: P4/mmm, No. 123


An optimized crystal structure of V2NiSb, computed with PBE.

abc: 4.202 3.707 3.707
angles: 90.00 90.00 90.00
Sites, in units of the cell vectors:
Sb (0.500, 0.500, 0.500)
V (0.000, 0.000, 0.500)
V (0.000, 0.500, 0.000)
Ni (0.500, 0.000, 0.000)

## Properties
Formation energy (no corrections) in eV per atom: -0.1237
Spin magnetization in μB per formula unit: 0.0
V in Å³/cell: 58
Space group: P4/mmm, No. 123


An optimized crystal structure of NdTm2US8, computed with PBE.

abc: 6.264 5.911 8.242
angles: 89.97 90.00 90.48
Sites, in units of the cell vectors:
Nd (0.000, 0.000, 0.500)
Tm (0.500, 0.500, 0.757)
Tm (0.500, 0.500, 0.243)
U (0.000, 0.000, 0.000)
S (0.136, 0.749, 0.229)
S (0.659, 0.752, 0.000)
S (0.864, 0.251, 0.229)
S (0.864, 0.251, 0.771)
S (0.341, 0.248, 0.000)
S (0.136, 0.749, 0.771)
S (0.576, 0.778, 0.500)
S (0.424, 0.222, 0.500)

## Properties
Formation energy (no corrections) in eV per atom: -1.4837
Spin magnetization in μB per formula unit: 0.0
V in Å³/cell: 305
Space group: P2/m, No. 10


An optimized crystal structure of RbLa3B, computed with PBE.

abc: 5.577 5.577 5.577
angles: 90.00 90.00 90.00
Sites, in units of the cell vectors:
B (0.500, 0.500, 0.500)
Rb (0.000, 0.000, 0.000)
La (0.000, 0.500, 0.000)
La (0.000, 0.000, 0.500)
La (0.500, 0.000, 0.000)

## Properties
Spin magnetization in μB per formula unit: 0.0
Formation energy from the elements in eV/atom: 1.909
V in Å³/cell: 173
Space group: Pm-3m, No. 221